Version a
## Ba2HgAs (PBE-GGA)

Data for a relaxed Ba2HgAs crystal.

The structure in POSCAR format:
```
Ba2HgAs
1.0
7.1216 0.0195 -0.0186
3.9484 5.9269 0.0186
-5.3821 -3.2578 3.3373
As Hg Ba
1 1 2
direct
0.2948 0.7948 0.5000
0.4595 0.4595 0.0000
0.0065 0.0065 0.0000
0.7392 0.2392 0.5000
```

Calculated values
Fermi-level density of states = 0.571 states/eV per atom

=====

Version b
## Ba2HgAs (PBE-GGA)

Data for a relaxed Ba2HgAs crystal.

The structure in POSCAR format:
```
Ba2HgAs
1.0
-0.6114 0.1899 4.7739
-2.1422 -3.6476 2.3036
6.5534 -4.8325 3.4457
As Hg Ba
1 1 2
direct
0.7500 0.7500 0.7500
0.2500 0.2500 0.2500
0.0148 0.0148 0.9564
0.4852 0.4852 0.5436
```

Calculated values
Fermi-level density of states = 0.668 states/eV per atom

=====

Short version: version a is the least stable of them.